Entry 1:
# Sm5DyTl GGA-PBE optimized geometry
data_Sm5DyTl
_space_group_name_H-M_alt 'I m m 2'
_space_group_IT_number 44
_cell_length_a 8.590
_cell_length_b 11.612
_cell_length_c 5.975
_cell_angle_alpha 90.00
_cell_angle_beta 90.00
_cell_angle_gamma 90.00
loop_
_space_group_symop_operation_xyz
'x,y,z'
'-x,-y,z'
'-x,y,z'
'x,-y,z'
'x+1/2,y+1/2,z+1/2'
'-x+1/2,-y+1/2,z+1/2'
'-x+1/2,y+1/2,z+1/2'
'x+1/2,-y+1/2,z+1/2'
loop_
_atom_site_label
_atom_site_type_symbol
_atom_site_fract_x
_atom_site_fract_y
_atom_site_fract_z
Sm1 Sm 0.000 0.000 0.000
Sm2 Sm 0.000 0.250 0.382
Sm3 Sm 0.172 0.500 0.778
Dy1 Dy 0.000 0.000 0.515
Tl1 Tl 0.000 0.500 0.253
# calculated formation energy: 71.8 kJ per mole of atoms
# total moment: 0.000 μB per formula unit
# offset from the most stable computed form: 3.96 eV/f.u.

---

Entry 2:
# Tm2ThZrN4 GGA-PBE optimized geometry
data_Tm2ThZrN4
_space_group_name_H-M_alt 'P 1 2/m 1'
_space_group_IT_number 10
_cell_length_a 5.935
_cell_length_b 3.436
_cell_length_c 5.971
_cell_angle_alpha 90.00
_cell_angle_beta 109.22
_cell_angle_gamma 90.00
loop_
_space_group_symop_operation_xyz
'x,y,z'
'-x,-y,-z'
'-x,y,-z'
'x,-y,z'
loop_
_atom_site_label
_atom_site_type_symbol
_atom_site_fract_x
_atom_site_fract_y
_atom_site_fract_z
Tm1 Tm 0.000 0.000 0.000
Tm2 Tm 0.000 0.500 0.500
Th1 Th 0.500 0.000 0.500
Zr1 Zr 0.500 0.500 0.000
N1 N 0.246 0.500 0.235
N2 N 0.254 0.000 0.761
# total moment: 0.000 μB per formula unit
# formation energy without anion corrections: -1667 meV/atom

---

Across the entries above, uncorrected energy takes the values -3.623 -8.944 eV per atom, respectively.